{"formula": "GeBSeN2", "functional": "PBE", "state": "relaxed", "e_above_lowest_polymorph_mev_per_atom": 0, "raw_formation_energy_ev_per_atom": 1.28, "density_g_cm3": 4.4, "total_magnetization_mub_per_fu": 0.00, "spacegroup": "P4/mmm, No. 123", "cell": [[3.355, 0.000, 0.000], [0.000, 3.355, 0.000], [0.000, 0.000, 6.338]], "species": ["Ge", "B", "Se", "N", "N"], "fractional_positions": [[0.000, 0.000, 0.000], [0.500, 0.500, 0.500], [0.500, 0.500, 0.000], [0.000, 0.500, 0.500], [0.500, 0.000, 0.500]]}